Record 1
# TlInReO6

A geometry-optimized TlInReO6 structure (PBE-GGA, Alexandria).

Calculated values
crystal system	trigonal
formation energy from raw total energies	-11.197	eV/f.u.

```
data_TlInReO6
_cell_length_a 5.5111
_cell_length_b 5.5111
_cell_length_c 4.9561
_cell_angle_alpha 90.00
_cell_angle_beta 90.00
_cell_angle_gamma 120.00
_space_group_name_H-M_alt 'P 3 1 2'
_space_group_IT_number 149
loop_
_space_group_symop_operation_xyz
'x,y,z'
'-y,x-y,z'
'-x+y,-x,z'
'-y,-x,-z'
'-x+y,y,-z'
'x,x-y,-z'
loop_
_atom_site_label
_atom_site_type_symbol
_atom_site_fract_x
_atom_site_fract_y
_atom_site_fract_z
_atom_site_occupancy
Tl1 Tl 0.0000 0.0000 0.0000 1
In1 In 0.3333 0.6667 0.5000 1
Re1 Re 0.6667 0.3333 0.5000 1
O1 O 0.3957 0.0346 0.7191 1
```

---

Record 2
# PuTl2RhO8

A geometry-optimized PuTl2RhO8 structure (PBE-GGA, Alexandria).

Calculated values
crystal system	monoclinic
formation energy from raw total energies	-14.290	eV/f.u.

```
data_PuTl2RhO8
_cell_length_a 5.0792
_cell_length_b 6.5303
_cell_length_c 5.1315
_cell_angle_alpha 90.00
_cell_angle_beta 92.60
_cell_angle_gamma 90.00
_space_group_name_H-M_alt 'P 1 2/m 1'
_space_group_IT_number 10
loop_
_space_group_symop_operation_xyz
'x,y,z'
'-x,-y,-z'
'-x,y,-z'
'x,-y,z'
loop_
_atom_site_label
_atom_site_type_symbol
_atom_site_fract_x
_atom_site_fract_y
_atom_site_fract_z
_atom_site_occupancy
Pu1 Pu 0.0000 0.0000 0.0000 1
Tl1 Tl 0.5000 0.2574 0.5000 1
Rh1 Rh 0.0000 0.5000 0.0000 1
O1 O 0.1813 0.2508 0.8324 1
O2 O 0.2729 0.5000 0.2885 1
O3 O 0.2865 0.0000 0.3026 1
```

---

Record 3
# BeInS2

A geometry-optimized BeInS2 structure (PBE-GGA, Alexandria).

Calculated values
distance to the lowest polymorph of the same formula	0.325	eV/atom
crystal system	trigonal
formation energy from raw total energies	-0.866	eV/f.u.

```
data_BeInS2
_cell_length_a 3.3383
_cell_length_b 3.3383
_cell_length_c 22.3614
_cell_angle_alpha 90.00
_cell_angle_beta 90.00
_cell_angle_gamma 120.00
_space_group_name_H-M_alt 'R -3 m'
_space_group_IT_number 166
_space_group_name_Hall '-R 3 2"'
loop_
_atom_site_label
_atom_site_type_symbol
_atom_site_fract_x
_atom_site_fract_y
_atom_site_fract_z
_atom_site_occupancy
Be1 Be 0.0000 0.0000 0.0000 1
In1 In 0.0000 0.0000 0.5000 1
S1 S 0.0000 0.0000 0.3857 1
```

---

Record 4
# LiEu4B3N6

A geometry-optimized LiEu4B3N6 structure (PBE-GGA, Alexandria).

Calculated values
crystal system	cubic
formation energy from raw total energies	-15.445	eV/f.u.

```
data_LiEu4B3N6
_cell_length_a 7.3518
_cell_length_b 7.3518
_cell_length_c 7.3518
_cell_angle_alpha 90.00
_cell_angle_beta 90.00
_cell_angle_gamma 90.00
_space_group_name_H-M_alt 'I m -3 m'
_space_group_IT_number 229
_space_group_name_Hall '-I 4 2 3'
loop_
_atom_site_label
_atom_site_type_symbol
_atom_site_fract_x
_atom_site_fract_y
_atom_site_fract_z
_atom_site_occupancy
Li1 Li 0.0000 0.0000 0.0000 1
Eu1 Eu 0.2500 0.2500 0.2500 1
B1 B 0.0000 0.0000 0.5000 1
N1 N 0.0000 0.0000 0.3159 1
```

---

Record 5
# HoPaTcPd

A geometry-optimized HoPaTcPd structure (PBE-GGA, Alexandria).

Calculated values
crystal system	cubic
ΔE_f	-357	meV/atom

```
data_HoPaTcPd
_cell_length_a 6.9207
_cell_length_b 6.9207
_cell_length_c 6.9207
_cell_angle_alpha 90.00
_cell_angle_beta 90.00
_cell_angle_gamma 90.00
_space_group_name_H-M_alt 'F -4 3 m'
_space_group_IT_number 216
_space_group_name_Hall 'F -4 2 3'
loop_
_atom_site_label
_atom_site_type_symbol
_atom_site_fract_x
_atom_site_fract_y
_atom_site_fract_z
_atom_site_occupancy
Ho1 Ho 0.0000 0.0000 0.0000 1
Pa1 Pa 0.0000 0.0000 0.5000 1
Tc1 Tc 0.2500 0.2500 0.2500 1
Pd1 Pd 0.2500 0.2500 0.7500 1
```

---

Record 6
# Hf2Nb2Ga7

A geometry-optimized Hf2Nb2Ga7 structure (PBE-GGA, Alexandria).

Calculated values
crystal system	monoclinic
ΔE_f	-105	meV/atom

```
data_Hf2Nb2Ga7
_cell_length_a 10.7944
_cell_length_b 8.4595
_cell_length_c 4.7313
_cell_angle_alpha 90.00
_cell_angle_beta 114.34
_cell_angle_gamma 90.00
_space_group_name_H-M_alt 'C 1 2/m 1'
_space_group_IT_number 12
loop_
_space_group_symop_operation_xyz
'x,y,z'
'-x,-y,-z'
'-x,y,-z'
'x,-y,z'
'x+1/2,y+1/2,z'
'-x+1/2,-y+1/2,-z'
'-x+1/2,y+1/2,-z'
'x+1/2,-y+1/2,z'
loop_
_atom_site_label
_atom_site_type_symbol
_atom_site_fract_x
_atom_site_fract_y
_atom_site_fract_z
_atom_site_occupancy
Hf1 Hf 0.0000 0.1915 0.0000 1
Nb1 Nb 0.2431 0.5000 0.2229 1
Ga1 Ga 0.0000 0.0000 0.5000 1
Ga2 Ga 0.0019 0.5000 0.2497 1
Ga3 Ga 0.1917 0.3127 0.6860 1
```

---

The calculation returns the following mass density values, one per record and in order: 7.66; 8.63; 4.34; 6.11; 12.03; 8.70 Mg/m³.